Entry 1:
VASP calculation (GGA-PBEsol) on an optimized crystal structure of KNdW2O8.

Geometry as extended XYZ:
```
24
Lattice="7.410 -0.005 -0.019 -0.363 7.401 -0.019 -3.023 -3.173 6.070" Properties=species:S:1:pos:R:3 pbc="T T T"
O 2.036 4.135 5.644
O 1.345 1.411 5.393
O 4.949 5.193 3.948
O 0.947 4.658 2.124
O -0.008 1.990 0.388
O -1.659 0.221 4.471
O 2.679 2.812 0.638
O 5.683 4.002 1.560
O 1.988 0.088 0.388
O 0.301 -1.646 4.471
O 3.077 -0.435 3.908
O -0.583 3.053 3.908
O 4.607 1.171 2.124
O 4.032 2.233 5.644
O 3.723 5.869 1.560
O -0.925 -0.970 2.084
W -1.426 -1.497 5.725
W 4.625 -0.378 3.016
W -0.601 4.601 3.016
W 5.450 5.720 0.307
Nd 2.003 5.146 -0.019
Nd 5.044 2.249 -0.019
K 3.270 3.432 3.173
K 0.754 0.791 2.859
```

Values from the calculation:
ρ: 6.793 Mg/m³
Formation energy (no corrections): -30.4 eV per formula unit
Final energy: -0.651 Ry per atom

***

Entry 2:
VASP calculation (GGA-PBEsol) on an optimized crystal structure of Nd2Se3.

Geometry as extended XYZ:
```
40
Lattice="-8.601 -1.780 -0.337 0.313 -3.074 8.229 1.466 14.490 0.663" Properties=species:S:1:pos:R:3 pbc="T T T"
Se -7.175 9.553 0.815
Se -4.209 12.676 0.958
Se -1.896 4.989 3.554
Se -2.101 2.392 0.268
Se -5.681 7.838 6.171
Se -4.577 3.115 2.956
Se -7.729 0.784 4.577
Se -4.542 7.309 2.198
Se -2.136 1.470 6.030
Se -0.618 6.335 0.772
Se -5.978 3.908 0.069
Se -3.913 -0.134 3.175
Se -7.779 -3.334 5.363
Se -0.810 10.509 4.662
Se -3.822 10.357 3.309
Se -0.672 -0.781 2.811
Se -7.600 0.782 1.287
Se -4.057 4.033 7.112
Se -7.072 3.915 5.670
Se -7.460 6.233 3.318
Se -2.434 7.384 5.878
Se -1.344 9.633 0.623
Se -5.098 -1.461 5.961
Se -0.982 10.711 7.976
Nd 0.593 0.923 7.364
Nd -7.077 6.661 0.348
Nd -6.608 -1.508 3.136
Nd -4.632 5.556 4.662
Nd -3.525 10.070 6.306
Nd -2.109 -1.411 5.495
Nd -7.590 3.308 2.772
Nd -6.533 9.166 3.673
Nd -5.037 1.597 5.483
Nd -3.964 6.698 8.470
Nd -3.259 5.039 0.760
Nd -4.746 1.117 0.598
Nd -1.619 2.034 3.169
Nd -1.401 12.120 2.172
Nd -1.784 8.038 3.071
Nd 0.261 8.322 6.672
```

Values from the calculation:
ρ: 6.850 Mg/m³
Formation energy (no corrections): -9.6 eV per formula unit
Final energy: -0.463 Ry per atom

***

Entry 3:
VASP calculation (GGA-PBEsol) on an optimized crystal structure of CaCdTe2I.

Geometry as extended XYZ:
```
5
Lattice="-0.315 -1.835 -5.168 5.438 0.561 -0.531 0.753 -5.499 1.906" Properties=species:S:1:pos:R:3 pbc="T T T"
Ca 2.938 -3.387 -1.896
Te 2.719 0.280 -0.266
Te -0.158 -0.917 -2.584
Cd 0.000 0.000 0.000
I 0.377 -2.750 0.953
```

Values from the calculation:
ρ: 5.013 Mg/m³
Formation energy (no corrections): -1.6 eV per formula unit
Final energy: -0.203 Ry per atom

***

Entry 4:
VASP calculation (GGA-PBEsol) on an optimized crystal structure of Cs3ZnSn.

Geometry as extended XYZ:
```
5
Lattice="6.642 0.000 0.000 0.000 6.642 0.000 0.000 0.000 6.642" Properties=species:S:1:pos:R:3 pbc="T T T"
Cs 0.000 0.000 3.321
Cs 3.321 0.000 0.000
Cs 0.000 3.321 0.000
Zn 0.000 0.000 0.000
Sn 3.321 3.321 3.321
```

Values from the calculation:
ρ: 3.303 Mg/m³
Formation energy: 1.8 eV per formula unit
Final energy: -0.101 Ry per atom

***

Entry 5:
VASP calculation (GGA-PBEsol) on an optimized crystal structure of Tc2TeRhW.

Geometry as extended XYZ:
```
5
Lattice="-3.687 -2.390 -1.358 2.126 -0.963 -4.077 1.834 -3.896 1.876" Properties=species:S:1:pos:R:3 pbc="T T T"
Te 0.000 0.000 0.000
Tc 1.063 -0.481 -2.038
Tc 0.917 -1.948 0.938
W 0.136 -3.624 -1.779
Rh -1.844 -1.195 -0.679
```

Values from the calculation:
ρ: 9.988 Mg/m³
Formation energy (no corrections): 10.9 eV per formula unit
Final energy: -0.546 Ry per atom

***

Entry 6:
VASP calculation (GGA-PBEsol) on an optimized crystal structure of KCdAs2Br.

Geometry as extended XYZ:
```
5
Lattice="-2.216 -0.979 4.488 1.771 -4.780 -0.169 5.038 1.765 2.872" Properties=species:S:1:pos:R:3 pbc="T T T"
As -1.108 -0.490 2.244
As 0.885 -2.390 -0.084
K 2.297 -1.997 3.596
Br 2.519 0.883 1.436
Cd 0.000 0.000 0.000
```

Values from the calculation:
ρ: 4.015 Mg/m³
Formation energy (no corrections): 0.4 eV per formula unit
Final energy: -0.206 Ry per atom

***

Entry 7:
VASP calculation (GGA-PBEsol) on an optimized crystal structure of Be2ZnCu2.

Geometry as extended XYZ:
```
10
Lattice="-1.755 -1.879 -0.476 1.378 -2.682 5.509 -4.447 3.447 2.790" Properties=species:S:1:pos:R:3 pbc="T T T"
Be -1.482 0.943 1.741
Be -3.367 2.008 4.488
Be 0.299 -1.243 3.811
Be -1.587 -0.178 6.558
Cu -3.607 0.910 2.525
Cu -3.675 0.156 5.755
Cu -1.217 -2.024 5.298
Cu -1.148 -1.271 2.069
Zn 0.000 0.000 0.000
Zn -1.534 0.382 4.150
```

Values from the calculation:
ρ: 6.779 Mg/m³
Formation energy: -0.4 eV per formula unit
Final energy: -0.274 Ry per atom

***

Entry 8:
VASP calculation (GGA-PBEsol) on an optimized crystal structure of CuNi2Br.

Geometry as extended XYZ:
```
4
Lattice="4.191 0.000 0.000 2.096 3.630 0.000 2.096 1.210 3.422" Properties=species:S:1:pos:R:3 pbc="T T T"
Cu 2.096 1.210 0.856
Ni 6.287 3.630 2.567
Ni 0.000 0.000 0.000
Br 4.191 2.420 1.711
```

Values from the calculation:
ρ: 8.318 Mg/m³
Formation energy (no corrections): 2.6 eV per formula unit
Final energy: -0.293 Ry per atom
Distance to the lowest polymorph of the same formula: 0.616 eV per formula unit